# 1
DyCo12B4: relaxed, PBE.

Computed properties:
volume: 11.06 Å³ per atom
final energy: -115.15 eV/cell
ΔE_f: 8.1 kJ/mol of atoms

extended XYZ file:
```
17
Lattice="-0.007 6.155 1.096 -1.132 -1.039 -6.060 -4.439 -2.735 3.448" Properties=species:S:1:pos:R:3 pbc="T T T"
B -0.566 -0.519 -3.030
B -0.003 3.077 0.548
B -2.220 -1.368 1.724
B -2.789 1.190 -0.758
Co -1.732 2.698 -3.725
Co -3.855 0.307 -2.195
Co -1.129 4.259 -0.600
Co -4.205 1.295 0.645
Co -1.723 2.074 0.680
Co -4.449 -1.878 -0.915
Co -2.692 -0.688 -0.092
Co -2.886 3.069 -1.424
Co -3.125 3.152 2.112
Co -2.453 -0.771 -3.628
Co -1.373 1.085 -2.160
Co -3.846 -0.318 2.210
Dy 0.000 0.000 0.000
```



# 2
BaInSn: relaxed, PBE.

Computed properties:
volume: 33.78 Å³ per atom
final energy: -9.83 eV/cell
ΔE_f: -37.5 kJ/mol of atoms

extended XYZ file:
```
3
Lattice="4.017 0.000 0.000 0.000 4.017 0.000 -2.009 -2.009 6.279" Properties=species:S:1:pos:R:3 pbc="T T T"
Sn 2.009 2.009 5.292
In 0.000 0.000 3.914
Ba 2.009 2.009 1.468
```